DFT (PBE) results for an optimized crystal structure of TiSiNi3.

The calculation puts the density of states at the Fermi level at 3.6 states/eV/f.u. The distance to the lowest polymorph of the same formula is 1049 meV per atom. The calculation puts the volume at 81.1 Å³/cell. Its space-group type is Pm-3m (221). Its electronic total energy is -5.097 eV/atom. As for the uncorrected formation energy: 1035 meV/atom.

a b c (Å): 4.328 4.328 4.328
angles (deg): 90.00 90.00 90.00
Atoms (fractional coordinates):
Ni  0.000  0.000  0.500
Ni  0.000  0.500  0.000
Ni  0.500  0.000  0.000
Si  0.500  0.500  0.500
Ti  0.000  0.000  0.000